(1)
The following is a PBE calculation of an optimized crystal structure of Th3US4, from Alexandria.

Calculated values
E_form (uncorrected): -1.7098 eV/atom

abc: 6.8834 6.9342 8.1289
angles: 90.00 90.00 110.21
Atoms (fractional coordinates):
1 S 0.9959 0.2459 0.6289
2 S 0.5004 0.2420 0.8790
3 S 0.4959 0.2459 0.3711
4 S 0.0004 0.2420 0.1210
5 S 0.9996 0.7580 0.8790
6 S 0.5041 0.7541 0.6289
7 S 0.4996 0.7580 0.1210
8 S 0.0041 0.7541 0.3711
9 U 0.7500 0.0000 0.8772
10 U 0.2500 0.0000 0.1228
11 Th 0.7500 0.0000 0.3735
12 Th 0.2500 0.0000 0.6265
13 Th 0.7500 0.5000 0.6261
14 Th 0.7500 0.5000 0.1237
15 Th 0.2500 0.5000 0.3739
16 Th 0.2500 0.5000 0.8763

(2)
The following is a PBE calculation of an optimized crystal structure of BaLiAcBi, from Alexandria.

Calculated values
Energy of formation: -0.369 eV/atom

abc: 5.9225 5.9225 5.9225
angles: 60.00 60.00 60.00
Atoms (fractional coordinates):
1 Ac 0.7500 0.7500 0.7500
2 Li 0.0000 0.0000 0.0000
3 Bi 0.5000 0.5000 0.5000
4 Ba 0.2500 0.2500 0.2500

(3)
The following is a PBE calculation of an optimized crystal structure of TiGe2W, from Alexandria.

Calculated values
Energy above the most stable polymorph in this dataset: 119 meV per atom
Energy of formation: 0.122 eV/atom

abc: 3.6072 6.2680 6.4421
angles: 99.40 106.26 90.00
Atoms (fractional coordinates):
1 Ti 0.7502 0.2500 0.0000
2 Ti 0.2498 0.7500 0.0000
3 Ge 0.8751 0.6250 0.2503
4 Ge 0.3753 0.1250 0.2503
5 Ge 0.6247 0.8750 0.7497
6 Ge 0.1249 0.3750 0.7497
7 W 0.0000 0.0000 0.5000
8 W 0.5000 0.5000 0.5000

(4)
The following is a PBE calculation of an optimized crystal structure of NiAs2Br, from Alexandria.

Calculated values
Energy above the most stable polymorph in this dataset: 474 meV per atom
E_form (uncorrected): 0.2965 eV/atom

abc: 3.4527 3.4527 7.5016
angles: 90.00 90.00 115.74
Atoms (fractional coordinates):
1 As 0.0000 0.0000 0.9683
2 As 0.5000 0.5000 0.2107
3 Br 0.0000 0.0000 0.5456
4 Ni 0.5000 0.5000 0.7753